[1]
VASP calculation (PBE-GGA) on an optimized crystal structure of HfZrAuN.

Lattice parameters (Å, degrees): 8.7830 8.7830 4.5425 90.00 90.00 158.71
Fractional coordinates of all 8 atoms:
1 Hf 0.2121 0.7879 0.7500
2 Hf 0.7879 0.2121 0.2500
3 Zr 0.3928 0.6072 0.7500
4 Zr 0.6072 0.3928 0.2500
5 Au 0.0472 0.9528 0.7500
6 Au 0.9528 0.0472 0.2500
7 N 0.2010 0.7990 0.2500
8 N 0.7990 0.2010 0.7500

Calculated values
For the excess energy over the best structure of this formula in the dataset, the calculation gives 0.00 eV/f.u. The value obtained for the electronic total energy is -8.723 eV/atom. The value obtained for the magnetic moment is 0.0 μB per formula unit.

=====

[2]
VASP calculation (PBE-GGA) on an optimized crystal structure of HoCuPt.

Lattice parameters (Å, degrees): 4.5536 4.5536 4.5536 60.00 60.00 60.00
Fractional coordinates of all 3 atoms:
1 Ho 0.0000 0.0000 0.0000
2 Cu 0.7500 0.7500 0.7500
3 Pt 0.2500 0.2500 0.2500

Calculated values
For the excess energy over the best structure of this formula in the dataset, the calculation gives 1.09 eV/f.u. The value obtained for the formation enthalpy at 0 K is -0.26 eV per atom. The value obtained for the electronic total energy is -5.046 eV/atom. The value obtained for the magnetic moment is 0.0 μB per formula unit.

=====

[3]
VASP calculation (PBE-GGA) on an optimized crystal structure of DyYPt.

Lattice parameters (Å, degrees): 4.8120 4.8120 15.1946 90.00 90.00 120.00
Fractional coordinates of all 12 atoms:
1 Dy 0.3333 0.6667 0.1178
2 Dy 0.3333 0.6667 0.3822
3 Dy 0.6667 0.3333 0.6178
4 Dy 0.6667 0.3333 0.8822
5 Y 0.0000 0.0000 0.0000
6 Y 0.0000 0.0000 0.2500
7 Y 0.0000 0.0000 0.5000
8 Y 0.0000 0.0000 0.7500
9 Pt 0.3333 0.6667 0.5956
10 Pt 0.3333 0.6667 0.9044
11 Pt 0.6667 0.3333 0.0956
12 Pt 0.6667 0.3333 0.4044

Calculated values
For the excess energy over the best structure of this formula in the dataset, the calculation gives 0.00 eV/f.u. The value obtained for the formation enthalpy at 0 K is -0.65 eV per atom. The value obtained for the electronic total energy is -6.360 eV/atom. The value obtained for the magnetic moment is 0.0 μB per formula unit.

=====

[4]
VASP calculation (PBE-GGA) on an optimized crystal structure of DyTlCoTe3.

Lattice parameters (Å, degrees): 8.2179 8.2179 11.2173 90.00 90.00 150.74
Fractional coordinates of all 12 atoms:
1 Dy 0.0000 0.0000 0.0000
2 Dy 0.0000 0.0000 0.5000
3 Tl 0.2484 0.7516 0.7500
4 Tl 0.7516 0.2484 0.2500
5 Co 0.4732 0.5268 0.2500
6 Co 0.5268 0.4732 0.7500
7 Te 0.0729 0.9271 0.2500
8 Te 0.3697 0.6303 0.0734
9 Te 0.3697 0.6303 0.4266
10 Te 0.6303 0.3697 0.5734
11 Te 0.6303 0.3697 0.9266
12 Te 0.9271 0.0729 0.7500

Calculated values
The value obtained for the electronic total energy is -4.518 eV/atom. The value obtained for the magnetic moment is 2.4 μB per formula unit.

=====

[5]
VASP calculation (PBE-GGA) on an optimized crystal structure of ZnNiIr2.

Lattice parameters (Å, degrees): 4.2627 4.2627 4.2627 60.00 60.00 60.00
Fractional coordinates of all 4 atoms:
1 Zn 0.0000 0.0000 0.0000
2 Ni 0.2500 0.2500 0.2500
3 Ir 0.5000 0.5000 0.5000
4 Ir 0.7500 0.7500 0.7500

Calculated values
The value obtained for the formation enthalpy at 0 K is 0.12 eV per atom. The value obtained for the electronic total energy is -6.019 eV/atom. The value obtained for the magnetic moment is 0.0 μB per formula unit.

=====

[6]
VASP calculation (PBE-GGA) on an optimized crystal structure of MgCdCuSn.

Lattice parameters (Å, degrees): 4.8343 4.8343 4.8343 60.00 60.00 60.00
Fractional coordinates of all 4 atoms:
1 Mg 0.0000 0.0000 0.0000
2 Cd 0.7500 0.7500 0.7500
3 Cu 0.5000 0.5000 0.5000
4 Sn 0.2500 0.2500 0.2500

Calculated values
For the excess energy over the best structure of this formula in the dataset, the calculation gives 0.00 eV/f.u. The value obtained for the electronic total energy is -2.464 eV/atom.

=====

Q: What is the formula in the fourth record?
A: DyTlCoTe3

=====

Q: What is the electronic total energy in the sixth record?
A: -2.464 eV/atom